No. 1
Material: BaZn2BiP
Method: DFT, PBE
State: relaxed

abc: 4.9591 5.8890 4.9591
angles: 90.00 90.00 90.00
Last column: nearest neighbours and their distance in Å.
Fractional positions:
Zn (0.5000, 0.0000, 0.0000)  2 P 2.48
Zn (0.0000, 0.0000, 0.5000)  2 P 2.48
P (0.0000, 0.0000, 0.0000)  4 Zn 2.48
Ba (0.5000, 0.5000, 0.5000)  4 Bi 3.51, 8 Zn 3.85
Bi (0.0000, 0.5000, 0.0000)  2 P 2.94

Calculated values
* symmetry: P4/mmm (123)
* magnetization: 0.0 μB per formula unit
* calculated formation energy: -0.08 eV/atom



No. 2
Material: BaPaBi
Method: DFT, PBE
State: relaxed

abc: 4.6385 4.6385 10.4995
angles: 102.76 102.76 90.00
Last column: nearest neighbours and their distance in Å.
Fractional positions:
Pa (0.5000, 0.0000, 0.0000)  4 Pa 3.28, 4 Bi 3.33
Bi (0.1197, 0.1197, 0.2395)  4 Pa 3.33, 4 Ba 3.46
Ba (0.6749, 0.6749, 0.3497)  4 Bi 3.46
Pa (0.0000, 0.5000, 0.0000)  4 Pa 3.28, 4 Bi 3.33
Ba (0.3251, 0.3251, 0.6503)  4 Bi 3.46
Bi (0.8803, 0.8803, 0.7605)  4 Pa 3.33, 4 Ba 3.46

Calculated values
* symmetry: I4/mmm (139)
* magnetization: 0.8 μB per formula unit
* calculated formation energy: -0.35 eV/atom



No. 3
Material: BaPaBi3
Method: DFT, PBE
State: relaxed

abc: 6.0055 6.0055 6.0055
angles: 90.00 90.00 90.00
Last column: nearest neighbours and their distance in Å.
Fractional positions:
Bi (0.5000, 0.0000, 0.0000)  2 Pa 3.00
Pa (0.0000, 0.0000, 0.0000)  6 Bi 3.00
Bi (0.0000, 0.0000, 0.5000)  2 Pa 3.00
Ba (0.5000, 0.5000, 0.5000)  12 Bi 4.25
Bi (0.0000, 0.5000, 0.0000)  2 Pa 3.00

Calculated values
* symmetry: Pm-3m (221)
* polymorph energy (0 for the lowest one): 86 meV per atom
* magnetization: 0.0 μB per formula unit
* calculated formation energy: -0.25 eV/atom